# 1
The following is a PBE-GGA calculation of Pr4YTh3Se8 after structural relaxation, from Alexandria.

extended XYZ file:
```
16
Lattice="8.411 0.000 0.000 0.000 8.469 0.036 -4.205 -4.201 5.950" Properties=species:S:1:pos:R:3 pbc="T T T"
Th 2.103 2.134 2.993
Th -2.103 2.134 2.993
Th 4.205 4.234 0.018
Se 0.000 4.234 2.936
Se 6.344 2.171 0.020
Se 2.066 2.171 0.020
Se 4.205 4.241 2.996
Se 0.000 0.027 2.990
Se 4.205 0.034 3.050
Se -2.139 2.096 5.966
Se 2.139 2.096 5.966
Pr 0.000 0.000 0.000
Pr -2.103 -2.100 2.975
Pr 4.205 0.000 0.000
Pr 2.103 -2.100 2.975
Y 0.000 4.234 0.018
```

As for the uncorrected energy: -103.1 eV for the cell shown. Its formation energy from raw total energies is -27.42 eV/f.u. For the density of states at the Fermi level, the calculation gives 0.5476 states/eV per atom.

# 2
The following is a PBE-GGA calculation of PrTi2Se4 after structural relaxation, from Alexandria.

extended XYZ file:
```
14
Lattice="3.990 0.000 0.000 -1.995 6.071 0.000 0.000 0.000 13.041" Properties=species:S:1:pos:R:3 pbc="T T T"
Se 1.995 3.202 5.111
Se 1.995 0.000 6.521
Se 0.000 0.637 3.260
Se 0.000 2.868 11.632
Se 1.995 5.433 9.781
Se 1.995 3.202 1.409
Se 0.000 2.868 7.930
Se 1.995 0.000 0.000
Ti 0.000 1.389 5.756
Ti 1.995 4.682 12.276
Ti 1.995 4.682 7.286
Ti 0.000 1.389 0.765
Pr 1.995 1.594 9.781
Pr 0.000 4.477 3.260
```

As for the uncorrected energy: -87.4 eV for the cell shown. Its formation energy from raw total energies is -9.18 eV/f.u. For the density of states at the Fermi level, the calculation gives 0.5631 states/eV per atom.

# 3
The following is a PBE-GGA calculation of PrTiSe2 after structural relaxation, from Alexandria.

extended XYZ file:
```
4
Lattice="3.700 0.000 0.000 1.850 3.205 0.000 1.850 1.068 8.912" Properties=species:S:1:pos:R:3 pbc="T T T"
Se 1.850 1.068 5.960
Se 5.551 3.205 2.952
Pr 0.000 0.000 0.000
Ti 3.700 2.136 4.456
```

As for the uncorrected energy: -23.4 eV for the cell shown. Its formation energy from raw total energies is -3.73 eV/f.u. For the density of states at the Fermi level, the calculation gives 0.8845 states/eV per atom.

What did the first record say?
The following is a PBE-GGA calculation of Pr4YTh3Se8 after structural relaxation, from Alexandria.

extended XYZ file:
```
16
Lattice="8.411 0.000 0.000 0.000 8.469 0.036 -4.205 -4.201 5.950" Properties=species:S:1:pos:R:3 pbc="T T T"
Th 2.103 2.134 2.993
Th -2.103 2.134 2.993
Th 4.205 4.234 0.018
Se 0.000 4.234 2.936
Se 6.344 2.171 0.020
Se 2.066 2.171 0.020
Se 4.205 4.241 2.996
Se 0.000 0.027 2.990
Se 4.205 0.034 3.050
Se -2.139 2.096 5.966
Se 2.139 2.096 5.966
Pr 0.000 0.000 0.000
Pr -2.103 -2.100 2.975
Pr 4.205 0.000 0.000
Pr 2.103 -2.100 2.975
Y 0.000 4.234 0.018
```

As for the uncorrected energy: -103.1 eV for the cell shown. Its formation energy from raw total energies is -27.42 eV/f.u. For the density of states at the Fermi level, the calculation gives 0.5476 states/eV per atom.

Which of these has the lowest formation energy from raw total energies?
Pr4YTh3Se8